1.
VASP calculation (PBEsol) on an optimized crystal structure of KMgNi2.

Unit cell a=2.7395 b=4.5608 c=6.7550 alpha=95.61 beta=90.00 gamma=107.48
With the nearest neighbours (Å) after each atom.
Sites, in units of the cell vectors:
Mg 0.0000 0.0000 0.5000  6 Ni 2.56-2.57, 2 Mg 2.74
Ni 0.7354 0.4708 0.6374  2 Ni 2.34, 3 Mg 2.56-2.57
Ni 0.2646 0.5292 0.3626  2 Ni 2.34, 3 Mg 2.56-2.57
K 0.5000 0.0000 0.0000  2 K 2.74

Output
- energy relative to the elements (eV per atom) = 0.44
- SG = C2/m, No. 12

***

2.
VASP calculation (PBEsol) on an optimized crystal structure of KMg2Ni.

Unit cell a=3.2830 b=3.2830 c=10.2266 alpha=80.76 beta=80.76 gamma=60.00
With the nearest neighbours (Å) after each atom.
Sites, in units of the cell vectors:
K 0.0000 0.0000 0.0000  6 K 3.28
Mg 0.7756 0.7756 0.6731  3 Ni 2.57
Mg 0.2244 0.2244 0.3269  3 Ni 2.57
Ni 0.5000 0.5000 0.5000  6 Mg 2.57

Output
- energy relative to the elements (eV per atom) = 0.33
- SG = R-3m, No. 166

***

3.
VASP calculation (PBEsol) on an optimized crystal structure of KY2MgNi.

Unit cell a=5.6299 b=5.6299 c=5.6026 alpha=90.00 beta=90.00 gamma=90.00
With the nearest neighbours (Å) after each atom.
Sites, in units of the cell vectors:
Y 0.0000 0.5000 0.0000  2 Mg 2.81
Y 0.5000 0.0000 0.0000  2 Mg 2.81
K 0.0000 0.0000 0.5000  2 Mg 2.80
Ni 0.5000 0.5000 0.5000  8 Y 3.97, 4 K 3.98
Mg 0.0000 0.0000 0.0000  2 K 2.80, 4 Y 2.81

Output
- energy relative to the elements (eV per atom) = 1.32
- SG = P4/mmm, No. 123

***

4.
VASP calculation (PBEsol) on an optimized crystal structure of K2Mg2O3.

Unit cell a=5.8848 b=6.2157 c=6.3088 alpha=90.00 beta=114.14 gamma=90.00
With the nearest neighbours (Å) after each atom.
Sites, in units of the cell vectors:
K 0.1796 0.6311 0.9276  4 O 2.59-2.73
K 0.8204 0.1311 0.5724  4 O 2.59-2.73
K 0.8204 0.3689 0.0724  4 O 2.59-2.73
K 0.1796 0.8689 0.4276  4 O 2.59-2.73
O 0.0000 0.0000 0.0000  2 Mg 1.96
O 0.5840 0.8595 0.2071  3 Mg 2.00-2.05
O 0.0000 0.5000 0.5000  2 Mg 1.96
O 0.5840 0.6405 0.7071  3 Mg 2.00-2.05
O 0.4160 0.1405 0.7929  3 Mg 2.00-2.05
O 0.4160 0.3595 0.2929  3 Mg 2.00-2.05
Mg 0.6634 0.8920 0.9246  4 O 1.96-2.05
Mg 0.3366 0.1080 0.0754  4 O 1.96-2.05
Mg 0.6634 0.6080 0.4246  4 O 1.96-2.05
Mg 0.3366 0.3920 0.5754  4 O 1.96-2.05

Output
- SG = P2_1/c, No. 14

***

5.
VASP calculation (PBEsol) on an optimized crystal structure of KMgPO2.

Unit cell a=4.4108 b=4.4108 c=5.3469 alpha=90.00 beta=90.00 gamma=90.00
With the nearest neighbours (Å) after each atom.
Sites, in units of the cell vectors:
Mg 0.5000 0.5000 0.5000  4 P 3.12, 8 O 3.47
K 0.0000 0.0000 0.0000  4 O 2.21
O 0.0000 0.5000 0.0000  2 K 2.21
O 0.5000 0.0000 0.0000  2 K 2.21
P 0.0000 0.0000 0.5000  2 K 2.67

Output
- SG = P4/mmm, No. 123

***

6.
VASP calculation (PBEsol) on an optimized crystal structure of KMg6P7O24.

Unit cell a=5.2467 b=6.4093 c=26.3379 alpha=90.00 beta=90.00 gamma=107.36
With the nearest neighbours (Å) after each atom.
Sites, in units of the cell vectors:
O 0.1221 0.9863 0.5477  1 P 1.53
O 0.1592 0.7896 0.2500  1 P 1.51
O 0.4951 0.0725 0.2027  2 P 1.58-1.65
O 0.8588 0.2218 0.8767  1 P 1.54
O 0.1425 0.3745 0.5229  1 P 1.53
O 0.5995 0.2136 0.3829  1 P 1.52
O 0.1412 0.7782 0.1233  1 P 1.54
O 0.4112 0.1740 0.0275  1 P 1.53
O 0.4860 0.3723 0.8496  1 P 1.50
O 0.9369 0.0639 0.1651  1 P 1.53
O 0.8667 0.4216 0.1932  1 P 1.51
O 0.1412 0.7782 0.3767  1 P 1.54
O 0.5538 0.2824 0.5576  2 P 1.60
O 0.5888 0.8260 0.5275  1 P 1.53
O 0.8680 0.6046 0.9041  1 P 1.53
O 0.5888 0.8260 0.9725  1 P 1.53
O 0.5140 0.6277 0.3496  1 P 1.50
O 0.0631 0.9361 0.8349  1 P 1.53
O 0.8408 0.2104 0.7500  1 P 1.51
O 0.1333 0.5784 0.6932  1 P 1.51
O 0.5049 0.9275 0.7973  2 P 1.58-1.65
O 0.5140 0.6277 0.1504  1 P 1.50
O 0.8588 0.2218 0.6233  1 P 1.54
O 0.4951 0.0725 0.2973  2 P 1.58-1.65
O 0.5538 0.2824 0.9424  2 P 1.60
O 0.8680 0.6046 0.5959  1 P 1.53
O 0.4462 0.7176 0.0576  2 P 1.60
O 0.8575 0.6255 0.4771  1 P 1.53
O 0.1320 0.3954 0.4041  1 P 1.53
O 0.5995 0.2136 0.1171  1 P 1.52
O 0.4005 0.7864 0.6171  1 P 1.52
O 0.1320 0.3954 0.0959  1 P 1.53
O 0.8667 0.4216 0.3068  1 P 1.51
O 0.0631 0.9361 0.6651  1 P 1.53
O 0.4462 0.7176 0.4424  2 P 1.60
O 0.4860 0.3723 0.6504  1 P 1.50
O 0.8779 0.0137 0.0477  1 P 1.53
O 0.9369 0.0639 0.3349  1 P 1.53
O 0.1425 0.3745 0.9771  1 P 1.53
O 0.8779 0.0137 0.4523  1 P 1.53
O 0.1333 0.5784 0.8068  1 P 1.51
O 0.1221 0.9863 0.9523  1 P 1.53
O 0.3454 0.2123 0.7500  1 P 1.52
O 0.6546 0.7877 0.2500  1 P 1.52
O 0.5049 0.9275 0.7027  2 P 1.58-1.65
O 0.8575 0.6255 0.0229  1 P 1.53
O 0.4005 0.7864 0.8829  1 P 1.52
O 0.4112 0.1740 0.4725  1 P 1.53
Mg 0.8754 0.7364 0.3163  6 O 2.02-2.25
Mg 0.8083 0.3137 0.4537  5 O 2.03-2.16
Mg 0.7980 0.9061 0.5970  6 O 2.07-2.24
Mg 0.7980 0.9061 0.9030  6 O 2.07-2.24
Mg 0.1917 0.6863 0.9537  5 O 2.03-2.16
Mg 0.2020 0.0939 0.4030  6 O 2.07-2.24
Mg 0.8754 0.7364 0.1837  6 O 2.02-2.25
Mg 0.8083 0.3137 0.0463  5 O 2.03-2.16
Mg 0.2020 0.0939 0.0970  6 O 2.07-2.24
Mg 0.1917 0.6863 0.5463  5 O 2.03-2.16
Mg 0.1246 0.2636 0.6837  6 O 2.02-2.25
Mg 0.1246 0.2636 0.8163  6 O 2.02-2.25
P 0.5469 0.0848 0.7500  4 O 1.51-1.58
P 0.6912 0.3752 0.8897  4 O 1.50-1.60
P 0.2518 0.7938 0.8335  4 O 1.51-1.65
P 0.6912 0.3752 0.6103  4 O 1.50-1.60
P 0.7106 0.7982 0.0240  4 O 1.53-1.60
P 0.7482 0.2062 0.1665  4 O 1.51-1.65
P 0.3088 0.6248 0.1103  4 O 1.50-1.60
P 0.2894 0.2018 0.5240  4 O 1.53-1.60
P 0.2894 0.2018 0.9760  4 O 1.53-1.60
P 0.4531 0.9152 0.2500  4 O 1.51-1.58
P 0.7106 0.7982 0.4760  4 O 1.53-1.60
P 0.3088 0.6248 0.3897  4 O 1.50-1.60
P 0.2518 0.7938 0.6665  4 O 1.51-1.65
P 0.7482 0.2062 0.3335  4 O 1.51-1.65
K 0.7252 0.6173 0.7500  6 O 2.68-2.87
K 0.2748 0.3827 0.2500  6 O 2.68-2.87

Output
- SG = P2_1/m, No. 11

***

7.
VASP calculation (PBEsol) on an optimized crystal structure of KMg4P3O12.

Unit cell a=6.1735 b=9.5864 c=16.3944 alpha=90.00 beta=90.00 gamma=90.00
With the nearest neighbours (Å) after each atom.
Sites, in units of the cell vectors:
P 0.5000 0.9533 0.8336  4 O 1.52-1.60
P 0.5000 0.4574 0.2220  4 O 1.54-1.58
P 0.0000 0.5467 0.3336  4 O 1.52-1.60
P 0.0000 0.0426 0.7220  4 O 1.54-1.58
P 0.0000 0.2912 0.9638  4 O 1.52-1.56
P 0.0000 0.7088 0.0362  4 O 1.52-1.56
P 0.5000 0.5426 0.7780  4 O 1.54-1.58
P 0.5000 0.2088 0.4638  4 O 1.52-1.56
P 0.0000 0.9574 0.2780  4 O 1.54-1.58
P 0.5000 0.7912 0.5362  4 O 1.52-1.56
P 0.0000 0.4533 0.6664  4 O 1.52-1.60
P 0.5000 0.0467 0.1664  4 O 1.52-1.60
O 0.5000 0.6059 0.6890  1 P 1.58
O 0.0000 0.1185 0.2728  1 P 1.55
O 0.2032 0.4065 0.6216  1 P 1.52
O 0.7032 0.9065 0.8784  1 P 1.52
O 0.5000 0.6320 0.5208  1 P 1.55
O 0.7080 0.3997 0.1830  1 P 1.54
O 0.0000 0.6146 0.6796  1 P 1.56
O 0.0000 0.8941 0.1890  1 P 1.58
O 0.1978 0.6632 0.0896  1 P 1.56
O 0.2080 0.1003 0.6830  1 P 1.54
O 0.0000 0.3822 0.7547  1 P 1.60
O 0.5000 0.8625 0.4537  1 P 1.52
O 0.7968 0.5935 0.3784  1 P 1.52
O 0.5000 0.8854 0.1796  1 P 1.56
O 0.7968 0.4065 0.6216  1 P 1.52
O 0.5000 0.6185 0.2272  1 P 1.55
O 0.0000 0.3854 0.3204  1 P 1.56
O 0.8022 0.6632 0.0896  1 P 1.56
O 0.7080 0.6003 0.8170  1 P 1.54
O 0.2080 0.8997 0.3170  1 P 1.54
O 0.2920 0.6003 0.8170  1 P 1.54
O 0.7920 0.1003 0.6830  1 P 1.54
O 0.7032 0.0935 0.1216  1 P 1.52
O 0.2920 0.3997 0.1830  1 P 1.54
O 0.8022 0.3368 0.9104  1 P 1.56
O 0.0000 0.8815 0.7272  1 P 1.55
O 0.0000 0.1320 0.9792  1 P 1.55
O 0.1978 0.3368 0.9104  1 P 1.56
O 0.2968 0.9065 0.8784  1 P 1.52
O 0.6978 0.1632 0.4104  1 P 1.56
O 0.5000 0.3941 0.3110  1 P 1.58
O 0.0000 0.1059 0.8110  1 P 1.58
O 0.3022 0.1632 0.4104  1 P 1.56
O 0.0000 0.6178 0.2453  1 P 1.60
O 0.2968 0.0935 0.1216  1 P 1.52
O 0.0000 0.3625 0.0463  1 P 1.52
O 0.6978 0.8368 0.5896  1 P 1.56
O 0.5000 0.1178 0.2547  1 P 1.60
O 0.5000 0.8822 0.7453  1 P 1.60
O 0.5000 0.1146 0.8204  1 P 1.56
O 0.0000 0.6375 0.9537  1 P 1.52
O 0.5000 0.1375 0.5463  1 P 1.52
O 0.2032 0.5935 0.3784  1 P 1.52
O 0.0000 0.8680 0.0208  1 P 1.55
O 0.5000 0.3815 0.7728  1 P 1.55
O 0.5000 0.3680 0.4792  1 P 1.55
O 0.3022 0.8368 0.5896  1 P 1.56
O 0.7920 0.8997 0.3170  1 P 1.54
Mg 0.2534 0.2491 0.7978  5 O 2.02-2.14
Mg 0.7466 0.2491 0.7978  5 O 2.02-2.14
Mg 0.2466 0.2509 0.2978  5 O 2.02-2.14
Mg 0.5000 0.5382 0.4085  5 O 1.97-2.11
Mg 0.7534 0.2509 0.2978  5 O 2.02-2.14
Mg 0.0000 0.4825 0.1420  4 O 1.95-2.13
Mg 0.5000 0.9825 0.3580  4 O 1.95-2.13
Mg 0.7466 0.7509 0.2022  5 O 2.02-2.14
Mg 0.0000 0.0382 0.0915  5 O 1.97-2.11
Mg 0.2466 0.7491 0.7022  5 O 2.02-2.14
Mg 0.0000 0.5175 0.8580  4 O 1.95-2.13
Mg 0.7534 0.7491 0.7022  5 O 2.02-2.14
Mg 0.2534 0.7509 0.2022  5 O 2.02-2.14
Mg 0.5000 0.4618 0.5915  5 O 1.97-2.11
Mg 0.5000 0.0175 0.6420  4 O 1.95-2.13
Mg 0.0000 0.9618 0.9085  5 O 1.97-2.11
K 0.0000 0.8010 0.4641  6 O 2.74-2.89
K 0.5000 0.6990 0.9641  6 O 2.74-2.89
K 0.5000 0.3010 0.0359  6 O 2.74-2.89
K 0.0000 0.1990 0.5359  6 O 2.74-2.89

Output
- SG = Pnnm, No. 58

***

8.
VASP calculation (PBEsol) on an optimized crystal structure of K2MgP2WO10.

Unit cell a=9.1644 b=9.1954 c=10.7978 alpha=90.33 beta=90.52 gamma=90.23
With the nearest neighbours (Å) after each atom.
Sites, in units of the cell vectors:
O 0.6931 0.9752 0.2376  1 P 1.51
O 0.7441 0.7761 0.3970  1 P 1.57
O 0.2769 0.7449 0.1275  1 P 1.57
O 0.5028 0.8064 0.0000  1 P 1.51
O 0.1678 0.4941 0.5059  1 P 1.52
O 0.2971 0.9858 0.0242  1 P 1.59
O 0.5093 0.7774 0.2862  1 P 1.59
O 0.7689 0.5300 0.7160  1 P 1.59
O 0.7623 0.2114 0.0861  1 P 1.52
O 0.4453 0.5005 0.3758  1 W 1.78
O 0.2545 0.7530 0.8990  1 P 1.52
O 0.2408 0.2102 0.8593  1 P 1.57
O 0.7412 0.7127 0.1700  1 P 1.53
O 0.4893 0.2158 0.7708  1 P 1.60
O 0.2408 0.7136 0.3736  1 P 1.57
O 0.7609 0.7312 0.8789  1 P 1.53
O 0.0010 0.7091 0.4799  1 P 1.59
O 0.9908 0.2690 0.9628  1 P 1.60
O 0.2105 0.4823 0.2161  1 P 1.59
O 0.2657 0.2556 0.3420  1 P 1.52
O 0.7520 0.2800 0.8599  1 P 1.57
O 0.9566 0.9919 0.3797  1 W 1.77
O 0.2637 0.2330 0.6299  1 P 1.53
O 0.7570 0.2345 0.3805  1 P 1.53
O 0.2394 0.7404 0.6018  1 P 1.52
O 0.4822 0.4540 0.6322  1 W 1.77
O 0.5119 0.1836 0.4783  1 P 1.52
O 0.5497 0.4963 0.8746  1 W 1.78
O 0.0114 0.2969 0.2493  1 P 1.51
O 0.0567 0.9779 0.8776  1 W 1.77
O 0.9978 0.6721 0.7686  1 P 1.52
O 0.8182 0.4737 0.0222  1 P 1.52
O 0.3330 0.9933 0.7319  1 P 1.52
O 0.0248 0.9506 0.6184  1 W 1.77
O 0.4908 0.5382 0.1325  1 W 1.78
O 0.7309 0.0278 0.5352  1 P 1.59
O 0.2311 0.2440 0.1117  1 P 1.57
O 0.7823 0.7868 0.6522  1 P 1.56
O 0.7240 0.2810 0.6101  1 P 1.56
O 0.0113 0.0342 0.1160  1 W 1.77
Mg 0.3518 0.3550 0.4960  6 O 2.01-2.17
Mg 0.8655 0.1245 0.2421  6 O 2.06-2.10
Mg 0.1569 0.8415 0.7498  6 O 2.00-2.14
Mg 0.6446 0.6270 0.0124  6 O 2.04-2.13
K 0.2579 0.0065 0.4577  7 O 2.62-2.91
K 0.8469 0.5035 0.3315  5 O 2.59-2.84
K 0.5200 0.7354 0.5634  4 O 2.61-2.77
K 0.9890 0.7349 0.0441  7 O 2.66-2.94
K 0.5100 0.1942 0.2068  6 O 2.65-2.95
K 0.6568 0.9988 0.8724  4 O 2.64-2.75
K 0.2703 0.4727 0.9492  5 O 2.61-2.88
K 0.0053 0.3476 0.6817  4 O 2.66-2.78
P 0.1742 0.3144 0.2352  4 O 1.51-1.59
P 0.8254 0.3132 0.9893  4 O 1.52-1.60
P 0.1658 0.6585 0.4951  4 O 1.52-1.59
P 0.3387 0.8194 0.0081  4 O 1.51-1.59
P 0.3277 0.1576 0.7434  4 O 1.52-1.60
P 0.8329 0.6837 0.7585  4 O 1.52-1.59
P 0.6774 0.8155 0.2667  4 O 1.51-1.59
P 0.6766 0.1855 0.4962  4 O 1.52-1.59
W 0.1193 0.1008 0.9935  4 O 1.77-1.98
W 0.6084 0.3919 0.7457  4 O 1.77-1.97
W 0.8921 0.8929 0.5082  3 O 1.77-1.96
W 0.3798 0.6107 0.2526  4 O 1.78-1.98

Output
- SG = P1, No. 1

***

Number 1: VASP energy -3.35 eV/atom. Number 2: VASP energy -2.35 eV/atom. Number 3: VASP energy -3.21 eV/atom. Number 4: VASP energy -5.06 eV/atom. Number 5: VASP energy -2.97 eV/atom. Number 6: VASP energy -7.22 eV/atom. Number 7: VASP energy -7.03 eV/atom. Number 8: VASP energy -7.50 eV/atom.